[1]
NaNiAgTe2S | GGA-PBE | relaxed

Unit cell a=6.650 b=6.650 c=10.851 alpha=90.00 beta=90.00 gamma=145.89
Sites, in units of the cell vectors:
Na: 0.234 0.766 0.750
Na: 0.766 0.234 0.250
Ni: 0.500 0.500 0.000
Ni: 0.500 0.500 0.500
Ag: 0.065 0.935 0.250
Ag: 0.935 0.065 0.750
Te: 0.133 0.867 0.014
Te: 0.133 0.867 0.486
Te: 0.867 0.133 0.514
Te: 0.867 0.133 0.986
S: 0.437 0.563 0.250
S: 0.563 0.437 0.750

Summary:
calculated volume	269.08	Å³/cell
E_tot	-3.53	eV/atom
magnetic moment	0.00	μB per formula unit

[2]
NaNiAgSe3 | GGA-PBE | relaxed

Unit cell a=7.052 b=7.052 c=10.315 alpha=90.00 beta=90.00 gamma=150.52
Sites, in units of the cell vectors:
Na: 0.242 0.758 0.750
Na: 0.758 0.242 0.250
Ni: 0.500 0.500 0.000
Ni: 0.500 0.500 0.500
Ag: 0.078 0.922 0.250
Ag: 0.922 0.078 0.750
Se: 0.119 0.881 0.011
Se: 0.119 0.881 0.489
Se: 0.432 0.568 0.250
Se: 0.568 0.432 0.750
Se: 0.881 0.119 0.511
Se: 0.881 0.119 0.989

Summary:
calculated volume	252.43	Å³/cell
E_tot	-3.62	eV/atom
magnetic moment	0.01	μB per formula unit

[3]
Na4NiAgSn2 | GGA-PBE | relaxed

Unit cell a=4.871 b=4.871 c=7.005 alpha=90.00 beta=90.00 gamma=90.00
Sites, in units of the cell vectors:
Na: 0.000 0.000 0.000
Na: 0.000 0.500 0.244
Na: 0.500 0.000 0.756
Na: 0.500 0.500 0.500
Ni: 0.500 0.500 0.000
Ag: 0.000 0.000 0.500
Sn: 0.000 0.500 0.771
Sn: 0.500 0.000 0.229

Summary:
calculated volume	166.18	Å³/cell
E_tot	-2.74	eV/atom
magnetic moment	0.02	μB per formula unit

[4]
NaNpAg | GGA-PBE | relaxed

Unit cell a=6.927 b=6.927 c=6.927 alpha=90.00 beta=90.00 gamma=90.00
Sites, in units of the cell vectors:
Na: 0.000 0.000 0.000
Na: 0.000 0.500 0.500
Na: 0.500 0.000 0.500
Na: 0.500 0.500 0.000
Np: 0.250 0.250 0.250
Np: 0.250 0.750 0.750
Np: 0.750 0.250 0.750
Np: 0.750 0.750 0.250
Ag: 0.250 0.250 0.750
Ag: 0.250 0.750 0.250
Ag: 0.750 0.250 0.250
Ag: 0.750 0.750 0.750

Summary:
calculated volume	332.42	Å³/cell
E_tot	-4.51	eV/atom
magnetic moment	5.48	μB per formula unit

- calculated volume of number 3 (Na4NiAgSn2)?
  166.18 Å³/cell